(1)
## Mg3BeOs (PBE)

Data for an optimized crystal structure of Mg3BeOs.

Lattice parameters (Å, degrees): 4.4956 4.4956 4.4956 90.00 90.00 90.00
Last column: nearest neighbours and their distance in Å.
Sites, in units of the cell vectors:
Mg (0.5000, 0.0000, 0.0000)  2 Be 2.25
Mg (0.0000, 0.5000, 0.0000)  2 Be 2.25
Mg (0.0000, 0.0000, 0.5000)  2 Be 2.25
Be (0.0000, 0.0000, 0.0000)  6 Mg 2.25
Os (0.5000, 0.5000, 0.5000)  12 Mg 3.18

- ρ (Mg/m³) = 4.97
- VASP energy (eV/atom) = -2.945
- polymorph energy (0 for the lowest one) (kJ/mol of atoms) = 0.00

***

(2)
## SrBi3Pb3 (PBE)

Data for an optimized crystal structure of SrBi3Pb3.

Lattice parameters (Å, degrees): 7.1912 7.1912 9.5281 89.99 89.99 91.76
Last column: nearest neighbours and their distance in Å.
Sites, in units of the cell vectors:
Bi (0.0006, 0.4992, 0.2543)  6 Pb 3.43-3.49, 2 Sr 3.55, 2 Bi 3.59-3.61
Pb (0.2724, 0.7276, 0.5000)  6 Bi 3.43-3.69, 4 Pb 3.50-3.71
Bi (0.5008, 0.9994, 0.7457)  6 Pb 3.43-3.49, 2 Sr 3.55, 2 Bi 3.59-3.61
Bi (0.9995, 0.9995, 0.7504)  6 Pb 3.39-3.69, 4 Bi 3.59-3.61, 2 Sr 3.61
Bi (0.9994, 0.5008, 0.7457)  6 Pb 3.43-3.49, 2 Sr 3.55, 2 Bi 3.59-3.61
Bi (0.0005, 0.0005, 0.2496)  6 Pb 3.39-3.69, 4 Bi 3.59-3.61, 2 Sr 3.61
Bi (0.4992, 0.0006, 0.2543)  6 Pb 3.43-3.49, 2 Sr 3.55, 2 Bi 3.59-3.61
Pb (0.7591, 0.7591, 0.4997)  6 Bi 3.39-3.49, 4 Pb 3.50-3.71
Pb (0.2382, 0.7618, 0.0000)  6 Bi 3.42-3.49, 4 Sr 3.54-3.66
Pb (0.7276, 0.2724, 0.5000)  6 Bi 3.43-3.69, 4 Pb 3.50-3.71
Pb (0.7618, 0.2382, 0.0000)  6 Bi 3.42-3.49, 4 Sr 3.54-3.66
Sr (0.7289, 0.7289, 0.0010)  4 Pb 3.54-3.66, 6 Bi 3.55-3.61
Pb (0.2409, 0.2409, 0.5003)  6 Bi 3.39-3.49, 4 Pb 3.50-3.71
Sr (0.2711, 0.2711, 0.9990)  4 Pb 3.54-3.66, 6 Bi 3.55-3.61

- ρ (Mg/m³) = 9.01
- VASP energy (eV/atom) = -3.665
- polymorph energy (0 for the lowest one) (kJ/mol of atoms) = 0.00

***

(3)
## TmHg4Pb7 (PBE)

Data for an optimized crystal structure of TmHg4Pb7.

Lattice parameters (Å, degrees): 6.1704 10.5898 7.1066 62.55 64.27 73.06
Last column: nearest neighbours and their distance in Å.
Sites, in units of the cell vectors:
Hg (0.5017, 0.3366, 0.6599)  4 Pb 3.09-3.26, 2 Hg 3.12-3.15
Pb (0.2390, 0.0902, 0.4318)  1 Hg 3.17, 7 Pb 3.23-3.54, 1 Tm 3.39
Pb (0.5000, 0.0000, 0.0000)  2 Tm 3.09, 2 Pb 3.23, 2 Hg 3.26
Pb (0.0008, 0.3342, 0.6643)  2 Hg 3.09, 3 Pb 3.20-3.34, 1 Tm 3.23
Hg (0.4983, 0.6634, 0.3401)  4 Pb 3.09-3.26, 2 Hg 3.12-3.15
Tm (0.0000, 0.0000, 0.0000)  8 Pb 3.09-3.44
Hg (0.2498, 0.4149, 0.0855)  5 Pb 3.10-3.47, 1 Hg 3.12
Pb (0.9992, 0.6658, 0.3357)  2 Hg 3.09, 3 Pb 3.20-3.34, 1 Tm 3.23
Hg (0.7502, 0.5851, 0.9145)  5 Pb 3.10-3.47, 1 Hg 3.12
Pb (0.7610, 0.9098, 0.5682)  1 Hg 3.17, 7 Pb 3.23-3.54, 1 Tm 3.39
Pb (0.7604, 0.2608, 0.2184)  4 Hg 3.10-3.41, 2 Pb 3.33-3.39, 1 Tm 3.44
Pb (0.2396, 0.7392, 0.7816)  4 Hg 3.10-3.41, 2 Pb 3.33-3.39, 1 Tm 3.44

- ρ (Mg/m³) = 10.90
- VASP energy (eV/atom) = -2.587

***

(4)
## AcTcHg2O8 (PBE)

Data for an optimized crystal structure of AcTcHg2O8.

Lattice parameters (Å, degrees): 6.0221 6.0221 6.4284 90.00 90.00 120.00
Last column: nearest neighbours and their distance in Å.
Sites, in units of the cell vectors:
O (0.1456, 0.2911, 0.1804)  1 Tc 1.91
O (0.8544, 0.7089, 0.8196)  1 Tc 1.91
O (0.1456, 0.8544, 0.1804)  1 Tc 1.91
Hg (0.3333, 0.6667, 0.9849)  1 O 2.07
O (0.3333, 0.6667, 0.6623)  1 Hg 2.07
O (0.2911, 0.1456, 0.8196)  1 Tc 1.91
Tc (0.0000, 0.0000, 0.0000)  6 O 1.91
O (0.7089, 0.8544, 0.1804)  1 Tc 1.91
Hg (0.6667, 0.3333, 0.0151)  1 O 2.07
O (0.6667, 0.3333, 0.3377)  1 Hg 2.07
O (0.8544, 0.1456, 0.8196)  1 Tc 1.91
Ac (0.0000, 0.0000, 0.5000)  6 O 2.55

- ρ (Mg/m³) = 7.03
- VASP energy (eV/atom) = -5.431
- formation energy without anion corrections (meV/atom) = -869

***

(5)
## K2USe4 (PBE)

Data for an optimized crystal structure of K2USe4.

Lattice parameters (Å, degrees): 4.2508 8.6190 7.3832 114.69 90.00 90.00
Last column: nearest neighbours and their distance in Å.
Sites, in units of the cell vectors:
Se (0.0000, 0.7442, 0.9784)  1 U 2.61
U (0.0000, 0.0714, 0.0715)  6 Se 2.61-2.76
K (0.5000, 0.7366, 0.3425)  6 Se 3.32-3.45
K (0.5000, 0.4062, 0.8005)  6 Se 3.32-3.45
Se (0.5000, 0.0235, 0.8142)  2 U 2.76
Se (0.0000, 0.3986, 0.1645)  1 U 2.61
Se (0.5000, 0.1193, 0.3287)  2 U 2.76

- ρ (Mg/m³) = 4.27
- VASP energy (eV/atom) = -5.005
- polymorph energy (0 for the lowest one) (kJ/mol of atoms) = 4.51
- formation energy without anion corrections (meV/atom) = -1088

***

(6)
## AlV2Zn2 (PBE)

Data for an optimized crystal structure of AlV2Zn2.

Lattice parameters (Å, degrees): 6.8025 6.8025 3.3382 90.00 90.00 90.00
Last column: nearest neighbours and their distance in Å.
Sites, in units of the cell vectors:
Al (0.0000, 0.0000, 0.0000)  4 V 2.77, 8 Zn 2.98
V (0.6069, 0.1069, 0.0000)  1 V 2.06
V (0.8931, 0.6069, 0.0000)  1 V 2.06
Zn (0.1897, 0.6897, 0.5000)  6 V 2.57-2.68
Zn (0.8103, 0.3103, 0.5000)  6 V 2.57-2.68
Al (0.5000, 0.5000, 0.0000)  4 V 2.77, 8 Zn 2.98
Zn (0.6897, 0.8103, 0.5000)  6 V 2.57-2.68
Zn (0.3103, 0.1897, 0.5000)  6 V 2.57-2.68
V (0.3931, 0.8931, 0.0000)  1 V 2.06
V (0.1069, 0.3931, 0.0000)  1 V 2.06

- ρ (Mg/m³) = 5.58
- VASP energy (eV/atom) = -4.650
- polymorph energy (0 for the lowest one) (kJ/mol of atoms) = 8.91

***

(7)
## PmAlPd (PBE)

Data for an optimized crystal structure of PmAlPd.

Lattice parameters (Å, degrees): 3.8850 4.4545 4.4545 120.00 90.00 90.00
Last column: nearest neighbours and their distance in Å.
Sites, in units of the cell vectors:
Pm (0.6667, 0.3333, 0.6667)  6 Pd 3.22, 6 Al 3.22
Pd (0.1666, 0.0000, 0.0000)  3 Al 2.57
Al (0.1667, 0.6667, 0.3333)  3 Pd 2.57

- ρ (Mg/m³) = 6.92
- VASP energy (eV/atom) = -5.302
- polymorph energy (0 for the lowest one) (kJ/mol of atoms) = 8.15

***

(8)
## Tm2Tl2Pd7 (PBE)

Data for an optimized crystal structure of Tm2Tl2Pd7.

Lattice parameters (Å, degrees): 5.5868 8.0267 5.5868 90.00 110.07 90.00
Last column: nearest neighbours and their distance in Å.
Sites, in units of the cell vectors:
Tm (0.2979, 0.9998, 0.7021)  7 Pd 2.68-2.82
Pd (0.0000, 0.0000, 0.0000)  2 Tm 2.73
Pd (0.4999, 0.2837, 0.9998)  2 Pd 2.81-2.82, 2 Tm 2.82, 2 Tl 2.88
Pd (0.0002, 0.2837, 0.5001)  2 Pd 2.81-2.82, 2 Tm 2.82, 2 Tl 2.88
Tl (0.7756, 0.5000, 0.7756)  6 Pd 2.72-2.88, 1 Tl 2.87
Pd (0.5001, 0.7582, 0.4999)  2 Tm 2.68, 2 Tl 2.72, 4 Pd 2.81-2.82
Pd (0.5001, 0.7163, 0.0002)  2 Pd 2.81-2.82, 2 Tm 2.82, 2 Tl 2.88
Pd (0.4999, 0.2418, 0.5001)  2 Tm 2.68, 2 Tl 2.72, 4 Pd 2.81-2.82
Tl (0.2244, 0.5000, 0.2244)  6 Pd 2.72-2.88, 1 Tl 2.87
Pd (0.9998, 0.7163, 0.4999)  2 Pd 2.81-2.82, 2 Tm 2.82, 2 Tl 2.88
Tm (0.7021, 0.0002, 0.2979)  7 Pd 2.68-2.82

- ρ (Mg/m³) = 10.53
- VASP energy (eV/atom) = -4.763